# 1
Sm5Mg: optimized geometry, PBEsol.

Cell and atoms, written as POSCAR:
```
Sm5Mg
1.0
5.6649 0.0000 0.0000
0.0000 1.8019 8.9380
0.0000 -1.8019 8.9380
Sm Mg
5 1
direct
0.0000 0.0000 0.0000 Sm
0.0000 0.3265 0.3265 Sm
0.5000 0.2059 0.2059 Sm
0.5000 0.5455 0.5455 Sm
0.5000 0.8745 0.8745 Sm
0.0000 0.6619 0.6619 Mg
```

Crystal system = orthorhombic
Formation energy from the elements = 0.016 eV per atom
Energy = -4.51 eV per atom
Energy relative to the lowest polymorph listed for this composition = 8.8 kJ/mol of formula units
Total magnetization = 0.000 μB per cell
Symmetry = Amm2 (38)

***

# 2
ZnAg2Au: optimized geometry, PBEsol.

Cell and atoms, written as POSCAR:
```
ZnAg2Au
1.0
2.7371 -4.6099 0.0000
2.7371 4.6099 0.0000
-1.0811 0.0000 2.5469
Zn Ag Au
1 2 1
direct
0.0000 0.0000 0.0000 Zn
0.0000 0.5000 0.5000 Ag
0.5000 0.0000 0.5000 Ag
0.5000 0.5000 0.0000 Au
```

Crystal system = monoclinic
Formation energy from the elements = -0.051 eV per atom
Energy = -3.08 eV per atom
Total magnetization = 0.000 μB per cell
Symmetry = C2/m (12)

***

# 3
YScAl2: optimized geometry, PBEsol.

Cell and atoms, written as POSCAR:
```
YScAl2
1.0
3.4559 0.0000 0.0000
0.0000 3.4559 0.0000
0.0000 0.0000 6.8978
Y Sc Al
1 1 2
direct
0.0000 0.0000 0.0000 Y
0.0000 0.0000 0.5000 Sc
0.5000 0.5000 0.2728 Al
0.5000 0.5000 0.7272 Al
```

Crystal system = tetragonal
Formation energy from the elements = -0.444 eV per atom
Energy = -5.85 eV per atom
Energy relative to the lowest polymorph listed for this composition = 0.0 kJ/mol of formula units
Total magnetization = 0.000 μB per cell
Symmetry = P4/mmm (123)

***

# 4
BiPd2F: optimized geometry, PBEsol.

Cell and atoms, written as POSCAR:
```
BiPd2F
1.0
-3.5057 3.5057 2.6723
3.5057 -3.5057 2.6723
3.5057 3.5057 -2.6723
Bi Pd F
2 4 2
direct
0.0000 0.0000 0.0000 Bi
0.7500 0.2500 0.5000 Bi
0.1613 0.6250 0.0363 Pd
0.3750 0.4113 0.5363 Pd
0.5887 0.1250 0.9637 Pd
0.8750 0.8387 0.4637 Pd
0.2500 0.7500 0.5000 F
0.5000 0.5000 0.0000 F
```

Crystal system = tetragonal
Energy = -5.01 eV per atom
Total magnetization = 0.000 μB per cell
Symmetry = I-42d (122)